# CaLuCuPd PBE optimized geometry
# - total magnetization (μB/cell) = 0.00
# - E_tot (eV/atom) = -4.42
# - formation energy (meV per atom) = -470
data_CaLuCuPd
_chemical_formula_sum 'Ca4 Lu4 Cu4 Pd4'
_symmetry_space_group_name_H-M 'F -4 3 m'
_symmetry_Int_Tables_number 216
_symmetry_space_group_name_Hall 'F -4 2 3'
_cell_length_a 6.937
_cell_length_b 6.937
_cell_length_c 6.937
_cell_angle_alpha 90.00
_cell_angle_beta 90.00
_cell_angle_gamma 90.00
loop_
_atom_site_label
_atom_site_type_symbol
_atom_site_fract_x
_atom_site_fract_y
_atom_site_fract_z
_atom_site_occupancy
Ca1 Ca 0.000 0.000 0.000 1
Lu1 Lu 0.000 0.000 0.500 1
Cu1 Cu 0.250 0.250 0.750 1
Pd1 Pd 0.250 0.250 0.250 1